A relaxed MgCrN2 crystal. Source: Alexandria, functional GGA-PBEsol.

Geometry as POSCAR:
```
MgCrN2
1.0
5.079 0.000 0.000
0.000 5.593 0.000
0.000 0.000 6.503
Mg Cr N
4 4 8
Cartesian
5.047 3.309 5.707
2.508 2.284 0.796
2.508 5.080 2.456
5.047 0.512 4.048
0.018 3.212 2.415
2.557 2.381 4.089
2.557 5.177 5.667
0.018 0.416 0.837
1.838 3.121 2.577
4.378 2.471 3.926
4.378 5.267 5.829
1.838 0.325 0.675
2.086 3.387 5.565
4.625 2.205 0.938
4.625 5.002 2.314
2.086 0.591 4.190
```

ΔE_f (raw)	-2.83	eV per formula unit
total energy	-7.961	eV per atom


A relaxed MgCr3N crystal. Source: Alexandria, functional GGA-PBEsol.

Geometry as POSCAR:
```
MgCr3N
1.0
-3.030 -2.286 -0.517
-0.301 -0.458 3.791
-2.324 3.039 0.183
Cr Mg N
3 1 1
Cartesian
-0.151 -0.229 1.895
-1.162 1.520 0.091
-1.515 -1.143 -0.258
-2.828 0.148 1.728
0.000 0.000 0.000
```

ΔE_f (raw)	-0.52	eV per formula unit
total energy	-8.299	eV per atom


A relaxed MgCrN2 crystal. Source: Alexandria, functional GGA-PBEsol.

Geometry as POSCAR:
```
MgCrN2
1.0
-3.029 -2.501 2.330
2.440 -3.762 -0.867
2.600 3.777 2.959
Cr Mg N
2 2 4
Cartesian
2.373 -1.559 1.412
0.000 0.000 0.000
-0.362 -0.928 3.010
-0.295 -3.132 0.731
1.796 -3.165 0.742
-1.233 -2.777 2.566
1.758 2.232 2.444
1.700 -1.265 3.091
```

ΔE_f (raw)	-2.77	eV per formula unit
total energy	-7.945	eV per atom


A relaxed MgCr2N2 crystal. Source: Alexandria, functional GGA-PBEsol.

Geometry as POSCAR:
```
MgCr2N2
1.0
3.648 0.000 0.000
0.000 3.648 0.000
0.000 0.000 5.389
Mg Cr N
1 2 2
Cartesian
0.000 0.000 0.000
1.824 1.824 4.031
1.824 1.824 1.359
1.824 0.000 1.254
0.000 1.824 4.135
```

ΔE_f (raw)	0.70	eV per formula unit
total energy	-7.710	eV per atom


Which value of ΔE_f (raw) does entry 2 give?
-0.52 eV per formula unit


Copy entry 2 word for word.
A relaxed MgCr3N crystal. Source: Alexandria, functional GGA-PBEsol.

Geometry as POSCAR:
```
MgCr3N
1.0
-3.030 -2.286 -0.517
-0.301 -0.458 3.791
-2.324 3.039 0.183
Cr Mg N
3 1 1
Cartesian
-0.151 -0.229 1.895
-1.162 1.520 0.091
-1.515 -1.143 -0.258
-2.828 0.148 1.728
0.000 0.000 0.000
```

ΔE_f (raw)	-0.52	eV per formula unit
total energy	-8.299	eV per atom